(1)
First-principles (PBE-GGA) data for a relaxed LiSi2F crystal, as listed in the Alexandria database.

Calculated values
Raw formation energy = -290 kJ/mol of formula units
Crystal system = tetragonal
E above lowest polymorph = 0.0 meV/atom
Space-group type = No. 122

Unit cell a=3.308 b=3.308 c=13.026 alpha=82.71 beta=82.71 gamma=90.00
Sites, in units of the cell vectors:
Si 0.875 0.872 0.750
Si 0.622 0.125 0.250
Si 0.128 0.625 0.250
Si 0.375 0.378 0.750
Li 0.500 0.500 0.000
Li 0.250 0.750 0.500
F 0.000 0.000 0.000
F 0.750 0.250 0.500

(2)
First-principles (PBE-GGA) data for a relaxed LiSi3F crystal, as listed in the Alexandria database.

Calculated values
Raw formation energy = 271 kJ/mol of formula units
Crystal system = cubic
E above lowest polymorph = 283.9 meV/atom
Space-group type = No. 221

Unit cell a=4.355 b=4.355 c=4.355 alpha=90.00 beta=90.00 gamma=90.00
Sites, in units of the cell vectors:
F 0.500 0.500 0.500
Li 0.000 0.000 0.000
Si 0.000 0.000 0.500
Si 0.000 0.500 0.000
Si 0.500 0.000 0.000

(3)
First-principles (PBE-GGA) data for a relaxed Li3SiF crystal, as listed in the Alexandria database.

Calculated values
Raw formation energy = -532 kJ/mol of formula units
Crystal system = cubic
E above lowest polymorph = 0.0 meV/atom
Space-group type = No. 221

Unit cell a=3.997 b=3.997 c=3.997 alpha=90.00 beta=90.00 gamma=90.00
Sites, in units of the cell vectors:
Li 0.000 0.500 0.000
Li 0.000 0.000 0.500
Li 0.500 0.000 0.000
F 0.000 0.000 0.000
Si 0.500 0.500 0.500

(4)
First-principles (PBE-GGA) data for a relaxed Li2SiF crystal, as listed in the Alexandria database.

Calculated values
Raw formation energy = -443 kJ/mol of formula units
Crystal system = tetragonal
E above lowest polymorph = 0.0 meV/atom
Space-group type = No. 122

Unit cell a=5.658 b=5.658 c=5.472 alpha=58.87 beta=58.87 gamma=90.00
Sites, in units of the cell vectors:
F 0.250 0.750 0.500
F 0.500 0.500 0.000
Si 0.000 0.000 0.000
Si 0.750 0.250 0.500
Li 0.255 0.625 0.250
Li 0.375 0.505 0.750
Li 0.495 0.125 0.250
Li 0.875 0.745 0.750